Record 1
First-principles (PBE) data for an optimized crystal structure of Tm4SnTe2Se, as listed in the Alexandria database.

abc: 7.317 4.257 7.440
angles: 90.00 109.46 90.00
Space group P2/m (No. 10)
Inequivalent atoms, fractional coordinates:
Tm  0.237  0.000  0.224 x2
Tm  0.252  0.500  0.769 x2
Sn  0.500  0.000  0.000 x1
Te  0.000  0.000  0.500 x1
Te  0.500  0.500  0.500 x1
Se  0.000  0.500  0.000 x1

Values from the calculation:
Fermi-level density of states (states/eV per atom): 0.380
E (eV per atom): -5.17
Total magnetization (μB per cell): 0.000

Record 2
First-principles (PBE) data for an optimized crystal structure of Tm6SnTe2Se3, as listed in the Alexandria database.

abc: 7.227 12.490 7.256
angles: 90.00 109.29 90.00
Space group C2/m (No. 12)
Inequivalent atoms, fractional coordinates:
Tm  0.228  0.000  0.224 x4
Tm  0.249  0.339  0.227 x8
Sn  0.000  0.000  0.500 x2
Te  0.000  0.334  0.500 x4
Se  0.000  0.172  0.000 x4
Se  0.000  0.500  0.000 x2

Values from the calculation:
Fermi-level density of states (states/eV per atom): 0.456
E (eV per atom): -5.33
Total magnetization (μB per cell): 0.000

Record 3
First-principles (PBE) data for an optimized crystal structure of Tm4SnTeSe2, as listed in the Alexandria database.

abc: 7.233 4.176 7.263
angles: 90.00 109.42 90.00
Space group P2/m (No. 10)
Inequivalent atoms, fractional coordinates:
Tm  0.230  0.000  0.233 x2
Tm  0.238  0.500  0.753 x2
Sn  0.500  0.000  0.000 x1
Te  0.500  0.500  0.500 x1
Se  0.000  0.000  0.500 x1
Se  0.000  0.500  0.000 x1

Values from the calculation:
Fermi-level density of states (states/eV per atom): 0.344
E (eV per atom): -5.31
Total magnetization (μB per cell): 0.000

Record 4
First-principles (PBE) data for an optimized crystal structure of USnTe2Se, as listed in the Alexandria database.

abc: 4.455 4.455 14.634
angles: 90.00 90.00 90.00
Space group P4/nmm (No. 129, origin choice 2)
Inequivalent atoms, fractional coordinates:
U  0.250  0.250  0.129 x2
Sn  0.250  0.250  0.599 x2
Te  0.250  0.250  0.366 x2
Te  0.250  0.250  0.801 x2
Se  0.250  0.750  0.000 x2

Values from the calculation:
Fermi-level density of states (states/eV per atom): 1.673
E (eV per atom): -5.59
Total magnetization (μB per cell): 4.211

Record 5
First-principles (PBE) data for an optimized crystal structure of Y6Sn2TeSe3, as listed in the Alexandria database.

abc: 18.500 4.247 8.523
angles: 90.00 103.00 90.00
Space group C2/m (No. 12)
Inequivalent atoms, fractional coordinates:
Y  0.001  0.000  0.268 x4
Y  0.165  0.500  0.588 x4
Y  0.172  0.500  0.085 x4
Sn  0.167  0.000  0.334 x4
Te  0.000  0.500  0.000 x2
Se  0.000  0.500  0.500 x2
Se  0.164  0.000  0.835 x4

Values from the calculation:
Fermi-level density of states (states/eV per atom): 0.374
E (eV per atom): -6.40
Total magnetization (μB per cell): 0.000

Record 6
First-principles (PBE) data for an optimized crystal structure of Y4SnTeSe2, as listed in the Alexandria database.

abc: 7.347 4.235 7.372
angles: 90.00 109.39 90.00
Space group P2/m (No. 10)
Inequivalent atoms, fractional coordinates:
Y  0.231  0.000  0.234 x2
Y  0.238  0.500  0.752 x2
Sn  0.500  0.000  0.000 x1
Te  0.500  0.500  0.500 x1
Se  0.000  0.000  0.500 x1
Se  0.000  0.500  0.000 x1

Values from the calculation:
Fermi-level density of states (states/eV per atom): 0.376
E (eV per atom): -6.42
Total magnetization (μB per cell): 0.000

Question: Which of these has the lowest Fermi-level density of states?
Answer: Tm4SnTeSe2

Question: Among the records above, which one has the lowest E?
Answer: Y4SnTeSe2